Record 1
Crystalline SrPm at its relaxed geometry, computed with PBE-GGA.

Computed properties:
Electronic total energy ... -1.4745 eV/atom
SG ... No. 216
Energy above the most stable polymorph in this dataset ... 1.5521 eV/atom

abc: 5.435 5.435 5.435
angles: 60.00 60.00 60.00
Element x y z (fractional)
Pm: 0.000 0.000 0.000
Sr: 0.250 0.250 0.250



Record 2
Crystalline CsTbZnS3 at its relaxed geometry, computed with PBE-GGA.

Computed properties:
Electronic total energy ... -4.4687 eV/atom
SG ... No. 12

abc: 9.105 9.105 8.841
angles: 99.80 99.80 26.45
Element x y z (fractional)
Cs: 0.153 0.153 0.063
Cs: 0.847 0.847 0.937
S: 0.500 0.500 0.000
S: 0.347 0.347 0.243
S: 0.680 0.680 0.365
S: 0.000 0.000 0.500
S: 0.320 0.320 0.635
S: 0.653 0.653 0.757
Tb: 0.837 0.837 0.444
Tb: 0.163 0.163 0.556
Zn: 0.476 0.476 0.256
Zn: 0.524 0.524 0.744



Record 3
Crystalline Hf2ScAl at its relaxed geometry, computed with PBE-GGA.

Computed properties:
Electronic total energy ... -7.5175 eV/atom
SG ... No. 216

abc: 4.899 4.899 4.899
angles: 60.00 60.00 60.00
Site moments in Bohr magnetons follow the coordinates.
Element x y z (fractional)
Al: 0.500 0.500 0.500  -0.01
Hf: 0.000 0.000 0.000  0.62
Hf: 0.750 0.750 0.750  0.30
Sc: 0.250 0.250 0.250  0.17



Record 4
Crystalline NaCu3SnSe4 at its relaxed geometry, computed with PBE-GGA.

Computed properties:
Electronic total energy ... -3.5840 eV/atom
SG ... No. 215

abc: 6.049 6.049 6.049
angles: 90.00 90.00 90.00
Element x y z (fractional)
Cu: 0.500 0.500 0.000
Cu: 0.500 0.000 0.500
Cu: 0.000 0.500 0.500
Na: 0.000 0.000 0.000
Se: 0.259 0.259 0.259
Se: 0.741 0.741 0.259
Se: 0.741 0.259 0.741
Se: 0.259 0.741 0.741
Sn: 0.500 0.500 0.500



Which of these has the lowest electronic total energy? Hf2ScAl



electronic total energy of number 1 (SrPm)? -1.4745 eV/atom



The lowest electronic total energy belongs to which entry? Hf2ScAl



Among the records above, which one has the lowest electronic total energy? Hf2ScAl